Density functional theory data (PBE) for a relaxed structure of Lu2HgGe.

Structure (POSCAR):
```
Lu2HgGe
1.0
1.8733 1.0815 8.2073
-1.8733 1.0815 8.2073
0.0000 -2.1631 8.2073
Lu Hg Ge
2 1 1
Direct
0.2422 0.2422 0.2422
0.7578 0.7578 0.7578
0.0000 0.0000 0.0000
0.5000 0.5000 0.5000
```

Values from the calculation:
Theoretical density: 10.37 g cm⁻³
Crystal system: trigonal
D(E_F): 3.71 states/eV/f.u.
E_form: -465 meV/atom
E: -3.9557 eV per atom
Calculated volume: 99.77 Å³/cell